Crystalline Na5Th3Tl12 at its relaxed geometry, computed with GGA-PBE.

Results
The calculation puts the calculated formation energy at 269 meV per atom.

Structure (POSCAR):
```
Na5Th3Tl12
1.0
15.891 0.000 0.000
-5.297 14.982 0.000
-5.297 -7.491 12.975
Tl Th Na
48 12 20
direct
0.077 0.152 0.223
0.923 0.848 0.777
0.925 0.077 0.854
0.575 0.929 0.652
0.925 0.848 0.571
0.854 0.577 0.925
0.348 0.777 0.423
0.223 0.571 0.646
0.929 0.575 0.152
0.577 0.723 0.652
0.723 0.577 0.152
0.354 0.425 0.077
0.571 0.348 0.925
0.425 0.354 0.577
0.652 0.223 0.577
0.575 0.646 0.423
0.646 0.071 0.223
0.646 0.575 0.923
0.152 0.075 0.929
0.354 0.929 0.777
0.075 0.923 0.146
0.223 0.652 0.077
0.152 0.077 0.723
0.929 0.354 0.277
0.348 0.571 0.425
0.425 0.071 0.348
0.071 0.646 0.723
0.429 0.652 0.075
0.848 0.923 0.277
0.923 0.075 0.646
0.423 0.146 0.575
0.077 0.925 0.354
0.423 0.277 0.348
0.848 0.925 0.071
0.429 0.777 0.854
0.723 0.146 0.071
0.571 0.223 0.146
0.146 0.723 0.571
0.277 0.423 0.848
0.577 0.854 0.425
0.071 0.425 0.848
0.277 0.854 0.929
0.854 0.277 0.429
0.146 0.423 0.075
0.777 0.348 0.923
0.777 0.429 0.354
0.652 0.429 0.575
0.075 0.152 0.429
0.375 0.750 0.625
0.250 0.625 0.875
0.250 0.125 0.375
0.625 0.375 0.750
0.750 0.375 0.125
0.875 0.750 0.125
0.375 0.625 0.250
0.125 0.250 0.875
0.125 0.875 0.750
0.875 0.125 0.250
0.750 0.875 0.625
0.625 0.250 0.375
0.250 0.375 0.625
0.125 0.750 0.375
0.000 0.000 0.000
0.875 0.250 0.625
0.375 0.250 0.125
0.000 0.500 0.500
0.500 0.500 0.500
0.125 0.375 0.250
0.375 0.125 0.750
0.750 0.125 0.875
0.000 0.000 0.500
0.750 0.625 0.375
0.875 0.625 0.750
0.500 0.000 0.500
0.000 0.500 0.000
0.625 0.875 0.250
0.500 0.500 0.000
0.625 0.750 0.875
0.500 0.000 0.000
0.250 0.875 0.125
```

---

Crystalline ScNb3Br at its relaxed geometry, computed with GGA-PBE.

Results
The energy relative to the lowest polymorph listed for this composition comes out at 944 meV/atom.

Structure (POSCAR):
```
ScNb3Br
1.0
4.893 0.000 0.000
0.000 4.893 0.000
0.000 0.000 4.893
Nb Br Sc
3 1 1
direct
0.500 0.000 0.000
0.000 0.000 0.500
0.000 0.500 0.000
0.500 0.500 0.500
0.000 0.000 0.000
```

---

Crystalline CuSb2IF at its relaxed geometry, computed with GGA-PBE.

Results
The energy relative to the lowest polymorph listed for this composition comes out at 0 meV/atom.

Structure (POSCAR):
```
CuSb2IF
1.0
-0.547 -1.497 -4.775
3.378 -3.655 0.758
-3.909 -3.305 1.484
Sb I F Cu
2 1 1 1
direct
0.500 0.000 0.000
0.000 0.500 0.000
0.000 0.000 0.500
0.500 0.500 0.500
0.000 0.000 0.000
```

---

Crystalline Cu2GePd4 at its relaxed geometry, computed with GGA-PBE.

Results
The energy relative to the lowest polymorph listed for this composition comes out at 0 meV/atom. The calculation puts the calculated formation energy at -235 meV per atom.

Structure (POSCAR):
```
Cu2GePd4
1.0
5.385 -0.618 -0.110
-0.845 6.778 -0.008
-2.229 -3.286 5.776
Cu Pd Ge
4 8 2
direct
0.628 0.525 0.844
0.082 0.486 0.784
0.776 0.874 0.279
0.654 0.237 0.360
0.383 0.487 0.158
0.820 0.691 0.604
0.831 0.398 0.122
0.208 0.316 0.431
0.216 0.116 0.705
0.502 0.894 0.914
0.197 0.850 0.178
0.679 0.086 0.645
0.246 0.720 0.485
0.027 0.070 0.991
```